# Li2Pr2Sn3 PBE-GGA optimized geometry
# - energy relative to the elements (eV per atom) = -0.656
# - crystal system = orthorhombic
# - final energy (eV for the cell shown) = -59.97
# - calculated volume (A^3/atom) = 25.254
data_Li2Pr2Sn3
_chemical_formula_sum 'Li4 Pr4 Sn6'
_cell_length_a 10.345
_cell_length_b 10.345
_cell_length_c 7.425
_cell_angle_alpha 90.00
_cell_angle_beta 90.00
_cell_angle_gamma 153.58
_symmetry_space_group_name_H-M 'P 1'
_symmetry_Int_Tables_number 1
_symmetry_space_group_name_Hall 'P 1'
loop_
_atom_site_label
_atom_site_type_symbol
_atom_site_fract_x
_atom_site_fract_y
_atom_site_fract_z
_atom_site_occupancy
Li1 Li 0.195 0.805 0.563 1
Li2 Li 0.195 0.805 0.937 1
Li3 Li 0.805 0.195 0.063 1
Li4 Li 0.805 0.195 0.437 1
Pr1 Pr 0.342 0.658 0.750 1
Pr2 Pr 0.450 0.550 0.250 1
Pr3 Pr 0.550 0.450 0.750 1
Pr4 Pr 0.658 0.342 0.250 1
Sn1 Sn 0.068 0.932 0.055 1
Sn2 Sn 0.068 0.932 0.445 1
Sn3 Sn 0.280 0.720 0.250 1
Sn4 Sn 0.720 0.280 0.750 1
Sn5 Sn 0.932 0.068 0.555 1
Sn6 Sn 0.932 0.068 0.945 1


# LiPrSn5 PBE-GGA optimized geometry
# - energy relative to the elements (eV per atom) = -0.332
# - crystal system = tetragonal
# - final energy (eV for the cell shown) = -29.03
# - calculated volume (A^3/atom) = 26.510
data_LiPrSn5
_chemical_formula_sum 'Li1 Pr1 Sn5'
_cell_length_a 4.572
_cell_length_b 4.572
_cell_length_c 8.879
_cell_angle_alpha 90.00
_cell_angle_beta 90.00
_cell_angle_gamma 90.00
_symmetry_space_group_name_H-M 'P 1'
_symmetry_Int_Tables_number 1
_symmetry_space_group_name_Hall 'P 1'
loop_
_atom_site_label
_atom_site_type_symbol
_atom_site_fract_x
_atom_site_fract_y
_atom_site_fract_z
_atom_site_occupancy
Li1 Li 0.000 0.000 0.000 1
Pr1 Pr 0.500 0.500 0.500 1
Sn1 Sn 0.000 0.000 0.500 1
Sn2 Sn 0.000 0.500 0.206 1
Sn3 Sn 0.000 0.500 0.794 1
Sn4 Sn 0.500 0.000 0.206 1
Sn5 Sn 0.500 0.000 0.794 1


# Li3Pr2Sn2 PBE-GGA optimized geometry
# - energy relative to the elements (eV per atom) = -0.493
# - crystal system = monoclinic
# - final energy (eV for the cell shown) = -26.75
# - calculated volume (A^3/atom) = 24.917
data_Li3Pr2Sn2
_chemical_formula_sum 'Li3 Pr2 Sn2'
_cell_length_a 5.983
_cell_length_b 5.983
_cell_length_c 6.673
_cell_angle_alpha 101.82
_cell_angle_beta 101.82
_cell_angle_gamma 48.54
_symmetry_space_group_name_H-M 'P 1'
_symmetry_Int_Tables_number 1
_symmetry_space_group_name_Hall 'P 1'
loop_
_atom_site_label
_atom_site_type_symbol
_atom_site_fract_x
_atom_site_fract_y
_atom_site_fract_z
_atom_site_occupancy
Li1 Li 0.000 0.000 0.000 1
Li2 Li 0.109 0.109 0.430 1
Li3 Li 0.891 0.891 0.570 1
Pr1 Pr 0.352 0.352 0.239 1
Pr2 Pr 0.648 0.648 0.761 1
Sn1 Sn 0.347 0.347 0.748 1
Sn2 Sn 0.653 0.653 0.252 1